(1)
{
  "formula": "LaIn2Cl",
  "functional": "GGA-PBE",
  "state": "optimized geometry",
  "formation_energy_uncorrected_kj_per_mol_atoms": -33.8,
  "de_polymorph_ev_per_atom": 0.441,
  "lattice": [[-0.4786, -0.8423, 3.4242], [2.2408, -2.7395, -0.3708], [6.7901, 5.2507, 2.2406]],
  "species": ["In", "In", "Cl", "La"],
  "frac_coords": [[0.0000, 0.0000, 0.5128], [0.0000, 0.0000, 0.9872], [0.5000, 0.5000, 0.7500], [0.5000, 0.5000, 0.2500]]
}

***

(2)
{
  "formula": "LaInCl2",
  "functional": "GGA-PBE",
  "state": "optimized geometry",
  "formation_energy_uncorrected_kj_per_mol_atoms": -127.4,
  "de_polymorph_ev_per_atom": 0.045,
  "lattice": [[-3.3815, -4.2134, -0.7737], [0.7270, 0.1700, -4.1031], [4.2572, -3.1412, -1.5005]],
  "species": ["In", "La", "Cl", "Cl"],
  "frac_coords": [[0.0000, 0.5276, 0.5704], [0.5000, 0.9327, 0.7599], [0.5000, 0.2232, 0.1783], [0.0000, 0.8165, 0.9914]]
}

***

(3)
{
  "formula": "LaIn2Cl",
  "functional": "GGA-PBE",
  "state": "optimized geometry",
  "formation_energy_uncorrected_kj_per_mol_atoms": -36.3,
  "de_polymorph_ev_per_atom": 0.416,
  "lattice": [[-2.7663, 9.7341, -0.4824], [-3.5850, 8.6559, -3.8550], [-5.9518, 8.1174, -1.1503]],
  "species": ["La", "In", "In", "Cl"],
  "frac_coords": [[0.2500, 0.2500, 0.2500], [0.4926, 0.4926, 0.4926], [0.0074, 0.0074, 0.0074], [0.7500, 0.7500, 0.7500]]
}

***

(4)
{
  "formula": "LaInCl",
  "functional": "GGA-PBE",
  "state": "optimized geometry",
  "formation_energy_uncorrected_kj_per_mol_atoms": -21.5,
  "lattice": [[7.4789, 0.0000, 0.0000], [0.0000, 7.4789, 0.0000], [0.0000, 0.0000, 7.4789]],
  "species": ["La", "La", "In", "Cl", "Cl", "La", "Cl", "In", "In", "La", "In", "Cl"],
  "frac_coords": [[0.0000, 0.0000, 0.0000], [0.5000, 0.0000, 0.5000], [0.7500, 0.2500, 0.2500], [0.5000, 0.0000, 0.0000], [0.0000, 0.0000, 0.5000], [0.0000, 0.5000, 0.5000], [0.5000, 0.5000, 0.5000], [0.7500, 0.7500, 0.7500], [0.2500, 0.7500, 0.2500], [0.5000, 0.5000, 0.0000], [0.2500, 0.2500, 0.7500], [0.0000, 0.5000, 0.0000]]
}

***

Copy entry 4 word for word.
{
  "formula": "LaInCl",
  "functional": "GGA-PBE",
  "state": "optimized geometry",
  "formation_energy_uncorrected_kj_per_mol_atoms": -21.5,
  "lattice": [[7.4789, 0.0000, 0.0000], [0.0000, 7.4789, 0.0000], [0.0000, 0.0000, 7.4789]],
  "species": ["La", "La", "In", "Cl", "Cl", "La", "Cl", "In", "In", "La", "In", "Cl"],
  "frac_coords": [[0.0000, 0.0000, 0.0000], [0.5000, 0.0000, 0.5000], [0.7500, 0.2500, 0.2500], [0.5000, 0.0000, 0.0000], [0.0000, 0.0000, 0.5000], [0.0000, 0.5000, 0.5000], [0.5000, 0.5000, 0.5000], [0.7500, 0.7500, 0.7500], [0.2500, 0.7500, 0.2500], [0.5000, 0.5000, 0.0000], [0.2500, 0.2500, 0.7500], [0.0000, 0.5000, 0.0000]]
}

***

What did the second record say?
{
  "formula": "LaInCl2",
  "functional": "GGA-PBE",
  "state": "optimized geometry",
  "formation_energy_uncorrected_kj_per_mol_atoms": -127.4,
  "de_polymorph_ev_per_atom": 0.045,
  "lattice": [[-3.3815, -4.2134, -0.7737], [0.7270, 0.1700, -4.1031], [4.2572, -3.1412, -1.5005]],
  "species": ["In", "La", "Cl", "Cl"],
  "frac_coords": [[0.0000, 0.5276, 0.5704], [0.5000, 0.9327, 0.7599], [0.5000, 0.2232, 0.1783], [0.0000, 0.8165, 0.9914]]
}